# 1
A plane-wave DFT calculation with PBE-GGA was carried out for a relaxed LaAl2Se crystal.

Properties
E_form (uncorrected)   -0.56 eV/atom
Crystal system   trigonal
Offset from the most stable computed form   6.0 kJ per mole of atoms

Cell lengths 6.325, 6.325, 6.325 Å; angles 43.46, 43.46, 43.46 degrees
Element x y z (fractional)
Al  0.288  0.288  0.288
Al  0.941  0.941  0.941
La  0.501  0.501  0.501
Se  0.771  0.771  0.771

=====

# 2
A plane-wave DFT calculation with PBE-GGA was carried out for a relaxed Mn4AgAu crystal.

Properties
DFT total energy   -40.43 eV for the cell shown
Crystal system   cubic

Cell lengths 4.898, 4.898, 4.898 Å; angles 60.00, 60.00, 60.00 degrees
Site moments in Bohr magnetons follow the coordinates.
Element x y z (fractional)
Mn  0.375  0.375  0.874  2.00
Mn  0.874  0.375  0.375  2.00
Mn  0.375  0.874  0.375  2.00
Mn  0.375  0.375  0.375  2.00
Au  0.000  0.000  0.000  0.10
Ag  0.750  0.750  0.750  0.07

=====

# 3
A plane-wave DFT calculation with PBE-GGA was carried out for a relaxed ReGeAs crystal.

Properties
Crystal system   monoclinic
Offset from the most stable computed form   0.0 kJ per mole of atoms

Cell lengths 4.861, 4.861, 7.759 Å; angles 61.18, 61.18, 39.08 degrees
Element x y z (fractional)
As  0.142  0.142  0.472
As  0.858  0.858  0.528
Ge  0.396  0.396  0.897
Ge  0.604  0.604  0.103
Re  0.840  0.840  0.210
Re  0.160  0.160  0.790

=====

# 4
A plane-wave DFT calculation with PBE-GGA was carried out for a relaxed LiSc2CuH crystal.

Properties
DFT total energy   -23.13 eV for the cell shown
Crystal system   tetragonal

Cell lengths 4.543, 4.543, 3.530 Å; angles 90.00, 90.00, 90.00 degrees
Site moments in Bohr magnetons follow the coordinates.
Element x y z (fractional)
Sc  0.000  0.500  0.000  0.09
Sc  0.500  0.000  0.000  0.09
Li  0.000  0.000  0.500  0.00
H  0.000  0.000  0.000  0.00
Cu  0.500  0.500  0.500  0.01

=====

# 5
A plane-wave DFT calculation with PBE-GGA was carried out for a relaxed HoNbTc crystal.

Properties
Crystal system   orthorhombic
Offset from the most stable computed form   14.1 kJ per mole of atoms

Cell lengths 5.004, 5.631, 10.237 Å; angles 83.77, 75.85, 63.62 degrees
Element x y z (fractional)
Nb  0.588  0.000  0.825
Nb  0.412  0.000  0.175
Nb  0.338  0.500  0.325
Nb  0.162  0.500  0.675
Ho  0.843  0.314  0.000
Ho  0.593  0.814  0.500
Ho  0.907  0.186  0.500
Ho  0.157  0.686  0.000
Tc  0.124  0.000  0.752
Tc  0.876  0.000  0.248
Tc  0.626  0.500  0.748
Tc  0.874  0.500  0.252

=====

| no. | calculated volume (Å³ per cell) |
| --- | --- |
| 1 | 108.6 |
| 2 | 83.1 |
| 3 | 99.3 |
| 4 | 72.8 |
| 5 | 250.6 |